Here is crystalline EuLuSiAu at its relaxed geometry from the Alexandria database. Energies are from PBE-GGA.

- uncorrected energy (eV/f.u.) = -26.00
- ΔE_f (raw) (eV per atom) = -0.626

```
data_EuLuSiAu
_chemical_formula_sum 'Eu1 Lu1 Si1 Au1'
_cell_length_a 5.0843
_cell_length_b 5.0843
_cell_length_c 5.0843
_cell_angle_alpha 60.00
_cell_angle_beta 60.00
_cell_angle_gamma 60.00
_space_group_name_H-M_alt 'P 1'
_space_group_IT_number 1
loop_
_space_group_symop_operation_xyz
'x,y,z'
loop_
_atom_site_label
_atom_site_fract_x
_atom_site_fract_y
_atom_site_fract_z
Eu1 0.0000 0.0000 0.0000
Lu1 0.5000 0.5000 0.5000
Si1 0.7500 0.7500 0.7500
Au1 0.2500 0.2500 0.2500
```